Sr2MoClO4 PBE with a Hubbard U relaxed; calculated total energy = -50.33 eV/f.u.; DOS at the Fermi energy = 0.0 states/eV/f.u.
1.0
3.3907 0.0000 0.0000
1.6953 5.0790 0.1986
1.6953 1.0099 8.5539
Sr Mo Cl O
2 1 1 4
direct
0.8243 0.5821 0.7693
0.1757 0.4179 0.2307
0.0000 0.0000 0.0000
0.5000 0.5000 0.5000
0.1441 0.9158 0.7959
0.3971 0.2607 0.9450
0.8559 0.0842 0.2041
0.6029 0.7393 0.0550